[1]
This record from Alexandria describes In2HgCl at its PBEsol-relaxed geometry. The functional is SCAN.

```
In2HgCl
1.0
-0.3703 2.6410 -2.3234
-5.5418 -0.9124 -0.1538
2.3250 2.3383 4.9794
In Cl Hg
2 1 1
direct
0.7576 0.7576 0.5153
0.2424 0.2424 0.4847
0.5000 0.0000 0.0000
0.0000 0.5000 0.0000
```

crystal system = orthorhombic
polymorph energy (0 for the lowest one) = 106 meV/atom
ΔE_f (raw) = -30.57 kJ per mole of atoms
electronic total energy = -36.046 eV/atom
total magnetization = 0.00 μB per formula unit

---

[2]
This record from Alexandria describes BeAuCl2 at its PBEsol-relaxed geometry. The functional is SCAN.

```
BeAuCl2
1.0
4.5735 0.0000 0.0000
2.2867 3.9608 0.0000
2.2867 1.3203 3.7342
Be Cl Au
1 2 1
direct
0.0000 0.0000 0.0000
0.7500 0.7500 0.7500
0.2500 0.2500 0.2500
0.5000 0.5000 0.5000
```

crystal system = cubic
polymorph energy (0 for the lowest one) = 1206 meV/atom
ΔE_f (raw) = 49.89 kJ per mole of atoms
electronic total energy = -21.850 eV/atom
total magnetization = 0.00 μB per formula unit

---

[3]
This record from Alexandria describes RbNa2Be at its PBEsol-relaxed geometry. The functional is SCAN.

```
RbNa2Be
1.0
-0.1781 -4.6114 2.0018
-1.7718 -1.8170 -4.3432
11.7420 1.2484 -2.3994
Rb Na Be
2 4 2
direct
0.2500 0.7500 0.5000
0.0000 0.0000 0.0000
0.8119 0.3750 0.2500
0.6250 0.5619 0.7500
0.4381 0.8750 0.2500
0.1250 0.1881 0.7500
0.7500 0.2500 0.5000
0.5000 0.5000 0.0000
```

crystal system = tetragonal
electronic total energy = -7.711 eV/atom
total magnetization = 0.00 μB per formula unit

---

[4]
This record from Alexandria describes FeNi2S4 at its PBEsol-relaxed geometry. The functional is SCAN.

```
FeNi2S4
1.0
6.4951 0.0000 0.0000
3.2476 5.6631 -0.0128
3.2476 1.8607 5.3487
Ni S Fe
4 8 2
direct
0.0000 0.5000 0.5000
0.6275 0.1225 0.6225
0.0000 0.0000 0.0000
0.3725 0.8775 0.3775
0.7539 0.2598 0.7598
0.2264 0.2598 0.7598
0.2455 0.2762 0.2329
0.7545 0.7238 0.7671
0.7736 0.7402 0.2402
0.2455 0.7329 0.7762
0.2461 0.7402 0.2402
0.7545 0.2671 0.2238
0.5000 0.5000 0.0000
0.0000 0.5000 0.0000
```

crystal system = orthorhombic
ΔE_f (raw) = -46.44 kJ per mole of atoms
electronic total energy = -13.194 eV/atom
total magnetization = 0.01 μB per formula unit

---

[5]
This record from Alexandria describes AsIrBr2O at its PBEsol-relaxed geometry. The functional is SCAN.

```
AsIrBr2O
1.0
4.5723 0.0000 0.0000
0.0000 5.1423 0.0000
0.0000 0.0000 5.1423
As O Ir Br
1 1 1 2
direct
0.5000 0.0000 0.0000
0.5000 0.5000 0.5000
0.0000 0.0000 0.0000
0.0000 0.5000 0.0000
0.0000 0.0000 0.5000
```

crystal system = tetragonal
polymorph energy (0 for the lowest one) = 0 meV/atom
ΔE_f (raw) = 75.85 kJ per mole of atoms
electronic total energy = -26.502 eV/atom
total magnetization = 1.98 μB per formula unit

---

[6]
This record from Alexandria describes Mn2HI at its PBEsol-relaxed geometry. The functional is SCAN.

```
Mn2HI
1.0
5.0208 0.0000 0.0000
0.0000 5.0208 0.0000
-2.5104 -2.5104 5.0393
I Mn H
2 4 2
direct
0.0000 0.0000 0.0000
0.2500 0.7500 0.5000
0.6250 0.4171 0.7500
0.1250 0.3329 0.7500
0.6671 0.3750 0.2500
0.5829 0.8750 0.2500
0.7500 0.2500 0.5000
0.5000 0.5000 0.0000
```

crystal system = tetragonal
electronic total energy = -19.013 eV/atom
total magnetization = 8.00 μB per formula unit

---

[7]
This record from Alexandria describes BeOsRu2 at its PBEsol-relaxed geometry. The functional is SCAN.

```
BeOsRu2
1.0
2.7862 0.0000 0.0000
0.0000 4.2411 0.0000
-1.3931 -2.1205 4.1263
Be Ru Os
1 2 1
direct
0.4987 0.4987 0.9973
0.9996 0.9996 0.9993
0.7797 0.2797 0.5594
0.2220 0.7220 0.4440
```

crystal system = orthorhombic
electronic total energy = -36.536 eV/atom
total magnetization = 0.00 μB per formula unit

---

[8]
This record from Alexandria describes EuMoO4 at its PBEsol-relaxed geometry. The functional is SCAN.

```
EuMoO4
1.0
5.2944 0.0000 0.0000
0.0000 5.2944 0.0000
-2.6472 -2.6472 5.7653
Mo O Eu
2 8 2
direct
0.7500 0.2500 0.5000
0.5000 0.5000 0.0000
0.3417 0.7344 0.1677
0.2656 0.1740 0.8323
0.9844 0.5760 0.6677
0.9083 0.0156 0.3323
0.6834 0.0917 0.6677
0.8260 0.4334 0.1677
0.4240 0.3166 0.3323
0.5666 0.6583 0.8323
0.0000 0.0000 0.0000
0.2500 0.7500 0.5000
```

crystal system = tetragonal
ΔE_f (raw) = -267.67 kJ per mole of atoms
electronic total energy = -21.694 eV/atom
total magnetization = 7.00 μB per formula unit

---

[9]
This record from Alexandria describes BaMg2NbPd at its PBEsol-relaxed geometry. The functional is SCAN.

```
BaMg2NbPd
1.0
-4.0211 1.8826 -2.4203
0.9771 -3.3378 -4.2197
-3.1685 -3.8231 2.2905
Nb Mg Pd Ba
1 2 1 1
direct
0.5000 0.0000 0.0000
0.0000 0.0000 0.5000
0.0000 0.5000 0.0000
0.5000 0.5000 0.5000
0.0000 0.0000 0.0000
```

crystal system = tetragonal
electronic total energy = -20.990 eV/atom
total magnetization = 0.81 μB per formula unit

---

[10]
This record from Alexandria describes CaInPb2 at its PBEsol-relaxed geometry. The functional is SCAN.

```
CaInPb2
1.0
-0.7379 3.5930 -1.2085
-1.3537 -1.5262 -3.7112
-6.3612 -0.4622 2.5103
Pb In Ca
2 1 1
direct
0.0000 0.0000 0.7338
0.0000 0.0000 0.2662
0.5000 0.5000 0.5000
0.5000 0.5000 0.0000
```

crystal system = orthorhombic
electronic total energy = -48.989 eV/atom
total magnetization = 0.00 μB per formula unit

---

[11]
This record from Alexandria describes CdBrN2O at its PBEsol-relaxed geometry. The functional is SCAN.

```
CdBrN2O
1.0
3.9275 0.0000 0.0000
0.0000 3.9275 0.0000
0.0000 0.0000 3.9270
Br N O Cd
1 2 1 1
direct
0.0000 0.0000 0.0000
0.0000 0.5000 0.0000
0.5000 0.0000 0.0000
0.0000 0.0000 0.5000
0.5000 0.5000 0.5000
```

crystal system = tetragonal
ΔE_f (raw) = 162.39 kJ per mole of atoms
electronic total energy = -13.254 eV/atom
total magnetization = 0.00 μB per formula unit

---

[12]
This record from Alexandria describes Be2BiAu2 at its PBEsol-relaxed geometry. The functional is SCAN.

```
Be2BiAu2
1.0
3.4028 0.0000 0.0000
0.0000 3.4028 0.0000
-1.7014 -1.7014 7.3104
Au Be Bi
2 2 1
direct
0.3576 0.3576 0.7151
0.6424 0.6424 0.2849
0.2500 0.7500 0.5000
0.7500 0.2500 0.5000
0.0000 0.0000 0.0000
```

crystal system = tetragonal
electronic total energy = -45.293 eV/atom
total magnetization = 0.00 μB per formula unit

---

[13]
This record from Alexandria describes HfN2 at its PBEsol-relaxed geometry. The functional is SCAN.

```
HfN2
1.0
-1.4311 -2.8712 -0.3242
2.0405 0.5177 2.4424
-5.7318 2.3730 4.2856
Hf N
2 4
direct
0.3333 0.6667 0.7500
0.6667 0.3333 0.2500
0.0000 0.0000 0.4060
0.0000 0.0000 0.0940
0.0000 0.0000 0.9060
0.0000 0.0000 0.5940
```

crystal system = hexagonal
ΔE_f (raw) = -90.81 kJ per mole of atoms
electronic total energy = -28.026 eV/atom
total magnetization = 0.00 μB per formula unit

---

[14]
This record from Alexandria describes BePOsCl2 at its PBEsol-relaxed geometry. The functional is SCAN.

```
BePOsCl2
1.0
4.4749 0.0000 0.0000
0.0000 4.8195 0.0000
0.0000 0.0000 4.8195
Os Cl P Be
1 2 1 1
direct
0.0000 0.0000 0.0000
0.0000 0.5000 0.0000
0.0000 0.0000 0.5000
0.5000 0.0000 0.0000
0.5000 0.5000 0.5000
```

crystal system = tetragonal
ΔE_f (raw) = 77.51 kJ per mole of atoms
electronic total energy = -19.714 eV/atom
total magnetization = 0.00 μB per formula unit

---

[15]
This record from Alexandria describes Ba2AlBr at its PBEsol-relaxed geometry. The functional is SCAN.

```
Ba2AlBr
1.0
-1.0301 -2.2226 3.2659
4.0834 -1.1888 0.4790
-0.0995 8.7095 3.3442
Al Ba Br
1 2 1
direct
0.1998 0.6998 0.3997
0.0494 0.0494 0.0988
0.7948 0.2948 0.5896
0.4559 0.4559 0.9119
```

crystal system = orthorhombic
ΔE_f (raw) = -78.34 kJ per mole of atoms
electronic total energy = -27.390 eV/atom
total magnetization = 0.00 μB per formula unit

---

[16]
This record from Alexandria describes ZrInAg2 at its PBEsol-relaxed geometry. The functional is SCAN.

```
ZrInAg2
1.0
3.0385 0.0000 0.0000
1.5192 2.6314 0.0000
1.5192 0.8771 9.6533
Ag In Zr
2 1 1
direct
0.7481 0.7481 0.7556
0.0031 0.0031 0.9907
0.4960 0.4960 0.5118
0.2527 0.2527 0.2418
```

crystal system = trigonal
electronic total energy = -31.682 eV/atom
total magnetization = 0.00 μB per formula unit

---

[17]
This record from Alexandria describes Na2ZnP2 at its PBEsol-relaxed geometry. The functional is SCAN.

```
Na2ZnP2
1.0
4.6372 0.0000 0.0000
0.0000 6.3181 0.0000
0.0000 0.0000 6.3181
P Na Zn
4 4 2
direct
0.0000 0.3744 0.8744
0.0000 0.1256 0.3744
0.0000 0.6256 0.1256
0.0000 0.8744 0.6256
0.5000 0.3251 0.1749
0.5000 0.8251 0.3251
0.5000 0.6749 0.8251
0.5000 0.1749 0.6749
0.0000 0.5000 0.5000
0.0000 0.0000 0.0000
```

crystal system = tetragonal
electronic total energy = -8.888 eV/atom
total magnetization = 0.00 μB per formula unit

---

[18]
This record from Alexandria describes ZrTc2P at its PBEsol-relaxed geometry. The functional is SCAN.

```
ZrTc2P
1.0
-0.6074 1.6739 2.4761
-2.5553 -4.0039 0.2016
4.3775 -0.7586 1.5867
P Zr Tc
1 1 2
direct
0.5000 0.0000 0.0000
0.0000 0.0000 0.5000
0.2188 0.4376 0.2037
0.7812 0.5624 0.7963
```

crystal system = monoclinic
electronic total energy = -28.209 eV/atom
total magnetization = 0.00 μB per formula unit

---

[19]
This record from Alexandria describes MgCdOs at its PBEsol-relaxed geometry. The functional is SCAN.

```
MgCdOs
1.0
-1.5794 2.0139 0.8892
-2.1409 -2.9237 2.8194
3.7163 2.2767 1.4444
Os Mg Cd
1 1 1
direct
0.3406 0.6667 0.3333
0.6968 0.3333 0.6667
0.9626 0.0000 0.0000
```

crystal system = trigonal
polymorph energy (0 for the lowest one) = 0 meV/atom
electronic total energy = -35.477 eV/atom
total magnetization = 0.00 μB per formula unit

---

[20]
This record from Alexandria describes PIrPb2 at its PBEsol-relaxed geometry. The functional is SCAN.

```
PIrPb2
1.0
-4.4634 -0.9508 1.6708
-0.6200 -3.2431 3.5659
-1.3010 1.4888 4.4394
Pb P Ir
2 1 1
direct
0.2500 0.2500 0.2500
0.7500 0.7500 0.7500
0.5000 0.5000 0.5000
0.0000 0.0000 0.0000
```

crystal system = cubic
electronic total energy = -57.470 eV/atom
total magnetization = 0.00 μB per formula unit

---

[21]
This record from Alexandria describes Ce3SiPd5 at its PBEsol-relaxed geometry. The functional is SCAN.

```
Ce3SiPd5
1.0
-4.9952 -3.6863 3.6350
4.7526 -0.9577 5.5598
-2.1859 3.1445 7.3038
Ce Pd Si
6 10 2
direct
0.0491 0.2721 0.9018
0.9509 0.7279 0.0982
0.4509 0.6739 0.0982
0.5491 0.3261 0.9018
0.2500 0.1249 0.5000
0.7500 0.8751 0.5000
0.5976 0.9592 0.2083
0.5000 0.5000 0.5000
0.3059 0.6674 0.7917
0.8059 0.0408 0.7917
0.9024 0.6674 0.7917
0.0000 0.5000 0.5000
0.6941 0.3326 0.2083
0.4024 0.0408 0.7917
0.0976 0.3326 0.2083
0.1941 0.9592 0.2083
0.7500 0.2791 0.5000
0.2500 0.7209 0.5000
```

crystal system = orthorhombic
ΔE_f (raw) = -84.56 kJ per mole of atoms
electronic total energy = -35.052 eV/atom
total magnetization = 2.39 μB per formula unit

---

[22]
This record from Alexandria describes KLaTe2 at its PBEsol-relaxed geometry. The functional is SCAN.

```
KLaTe2
1.0
-0.6316 -4.0702 -2.0603
2.1448 -3.7483 1.6000
-5.9163 -4.1436 4.8518
K Te La
1 2 1
direct
0.5021 0.5021 0.4938
0.9274 0.9274 0.2178
0.7381 0.7381 0.7858
0.3325 0.3325 0.0026
```

crystal system = trigonal
ΔE_f (raw) = -160.63 kJ per mole of atoms
electronic total energy = -33.149 eV/atom
total magnetization = 0.00 μB per formula unit

---

[23]
This record from Alexandria describes BeTc2 at its PBEsol-relaxed geometry. The functional is SCAN.

```
BeTc2
1.0
2.8097 0.0000 0.0000
0.0000 4.1456 0.0000
-1.4049 0.0000 6.3599
Be Tc
2 4
direct
0.1081 0.2500 0.2162
0.8919 0.7500 0.7838
0.4438 0.2500 0.8876
0.7757 0.2500 0.5514
0.5562 0.7500 0.1124
0.2243 0.7500 0.4486
```

crystal system = orthorhombic
polymorph energy (0 for the lowest one) = 207 meV/atom
electronic total energy = -24.953 eV/atom
total magnetization = 0.00 μB per formula unit

---

[24]
This record from Alexandria describes TlNi2Pt at its PBEsol-relaxed geometry. The functional is SCAN.

```
TlNi2Pt
1.0
4.3339 0.0000 0.0000
2.1669 3.7532 0.0000
2.1669 1.2511 3.5386
Ni Pt Tl
2 1 1
direct
0.0000 0.0000 0.0000
0.7500 0.7500 0.7500
0.5000 0.5000 0.5000
0.2500 0.2500 0.2500
```

crystal system = cubic
polymorph energy (0 for the lowest one) = 98 meV/atom
electronic total energy = -43.472 eV/atom
total magnetization = 0.69 μB per formula unit

---

[25]
This record from Alexandria describes RhPbSe2 at its PBEsol-relaxed geometry. The functional is SCAN.

```
RhPbSe2
1.0
3.6110 0.0000 0.0000
0.0000 3.6110 0.0000
0.0000 0.0000 6.4105
Rh Se Pb
1 2 1
direct
0.5000 0.5000 0.8552
0.0000 0.0000 0.9349
0.5000 0.5000 0.2422
0.0000 0.0000 0.4676
```

crystal system = tetragonal
ΔE_f (raw) = -2.06 kJ per mole of atoms
electronic total energy = -37.449 eV/atom
total magnetization = 0.00 μB per formula unit

---

[26]
This record from Alexandria describes TcAs4W at its PBEsol-relaxed geometry. The functional is SCAN.

```
TcAs4W
1.0
5.2047 0.0000 0.0000
2.6023 4.5074 0.0000
2.6023 1.5025 4.2496
As Tc W
4 1 1
direct
0.6251 0.1247 0.6251
0.6251 0.6251 0.1247
0.6251 0.6251 0.6251
0.1247 0.6251 0.6251
0.2500 0.2500 0.2500
0.0000 0.0000 0.0000
```

crystal system = cubic
electronic total energy = -29.723 eV/atom
total magnetization = 0.00 μB per formula unit